No. 1
DFT (PBE-GGA) results for Tl2RuW after structural relaxation.

The structure in CIF format:
```
data_Tl2RuW
_chemical_formula_sum 'Tl4 Ru2 W2'
_space_group_name_H-M_alt 'C m m m'
_space_group_IT_number 65
_space_group_name_Hall '-C 2 2'
_cell_length_a 3.1134
_cell_length_b 5.2142
_cell_length_c 9.4722
_cell_angle_alpha 90.00
_cell_angle_beta 90.00
_cell_angle_gamma 90.00
loop_
_atom_site_label
_atom_site_fract_x
_atom_site_fract_y
_atom_site_fract_z
_atom_site_occupancy
Tl1 0.0000 0.0000 0.2395 1
Ru1 0.0000 0.5000 0.0000 1
W1 0.0000 0.5000 0.5000 1
```

Values from the calculation:
ΔH_f (0 K): 0.96 eV/atom
final energy: -5.7790 eV/atom
calculated volume: 154 Å³ per cell
polymorph energy (0 for the lowest one): 549 meV per atom


No. 2
DFT (PBE-GGA) results for Tl2RuW after structural relaxation.

The structure in CIF format:
```
data_Tl2RuW
_chemical_formula_sum 'Tl2 Ru1 W1'
_space_group_name_H-M_alt 'P 4/m m m'
_space_group_IT_number 123
_space_group_name_Hall '-P 4 2'
_cell_length_a 4.8450
_cell_length_b 4.8450
_cell_length_c 3.1743
_cell_angle_alpha 90.00
_cell_angle_beta 90.00
_cell_angle_gamma 90.00
loop_
_atom_site_label
_atom_site_fract_x
_atom_site_fract_y
_atom_site_fract_z
_atom_site_occupancy
Tl1 0.0000 0.5000 0.0000 1
Ru1 0.0000 0.0000 0.5000 1
W1 0.5000 0.5000 0.5000 1
```

Values from the calculation:
ΔH_f (0 K): 1.04 eV/atom
final energy: -5.6962 eV/atom
calculated volume: 75 Å³ per cell
polymorph energy (0 for the lowest one): 632 meV per atom


No. 3
DFT (PBE-GGA) results for Tl2RuW after structural relaxation.

The structure in CIF format:
```
data_Tl2RuW
_chemical_formula_sum 'Tl2 Ru1 W1'
_space_group_name_H-M_alt 'P 4/m m m'
_space_group_IT_number 123
_space_group_name_Hall '-P 4 2'
_cell_length_a 3.2477
_cell_length_b 3.2477
_cell_length_c 7.0416
_cell_angle_alpha 90.00
_cell_angle_beta 90.00
_cell_angle_gamma 90.00
loop_
_atom_site_label
_atom_site_fract_x
_atom_site_fract_y
_atom_site_fract_z
_atom_site_occupancy
Tl1 0.0000 0.0000 0.2366 1
Ru1 0.5000 0.5000 0.0000 1
W1 0.5000 0.5000 0.5000 1
```

Values from the calculation:
ΔH_f (0 K): 1.02 eV/atom
final energy: -5.7180 eV/atom
calculated volume: 74 Å³ per cell
polymorph energy (0 for the lowest one): 610 meV per atom